[1]
The following is a GGA-PBE calculation of a relaxed structure of UPt4, from the Alexandria database.

Cell: 4.9831 4.9831 4.9831 Å, 90.00 90.00 90.00°
Closest atoms and distances in Å follow each position.
Positions (direct):
U  0.5000  0.5000  0.5000  6 Pt 2.49
Pt  0.5000  0.0000  0.5000  2 U 2.49
Pt  0.0000  0.0000  0.0000  12 Pt 3.52
Pt  0.5000  0.5000  0.0000  2 U 2.49
Pt  0.0000  0.5000  0.5000  2 U 2.49

Properties
SG ... Pm-3m
Crystal system ... cubic
ΔH_f (0 K) ... 1.166 eV per atom



[2]
The following is a GGA-PBE calculation of a relaxed structure of Rb2AcAu2O6, from the Alexandria database.

Cell: 6.0820 6.7201 8.2018 Å, 119.54 90.00 116.91°
Closest atoms and distances in Å follow each position.
Positions (direct):
Ac  0.5000  0.0000  0.5000  6 O 2.47-2.49
Au  0.0858  0.1716  0.2625  3 O 1.92-1.97
Au  0.9142  0.8284  0.7375  3 O 1.92-1.97
O  0.2513  0.5026  0.2766  1 Au 1.92
O  0.7370  0.9315  0.2513  1 Au 1.97
O  0.2630  0.0685  0.7487  1 Au 1.97
O  0.7487  0.4974  0.7234  1 Au 1.92
O  0.8055  0.0685  0.7487  1 Au 1.97
O  0.1945  0.9315  0.2513  1 Au 1.97
Rb  0.7144  0.4288  0.1080  4 O 2.91-3.01
Rb  0.2856  0.5712  0.8920  4 O 2.91-3.01

Properties
SG ... C2/m
Crystal system ... monoclinic
Energy relative to the elements, uncorrected ... -1.027 eV/atom



[3]
The following is a GGA-PBE calculation of a relaxed structure of AlTcBr2, from the Alexandria database.

Cell: 4.8152 4.8152 7.7511 Å, 72.53 72.53 40.16°
Closest atoms and distances in Å follow each position.
Positions (direct):
Al  0.1674  0.1674  0.3749  3 Tc 2.54-2.58
Br  0.0167  0.0167  0.1037  2 Tc 2.59, 1 Al 2.85
Br  0.8680  0.8680  0.6463  2 Tc 2.59, 1 Al 2.85
Tc  0.4477  0.4477  0.3751  3 Al 2.54-2.58, 4 Br 2.59

Properties
SG ... Cm
Crystal system ... monoclinic
Energy relative to the elements, uncorrected ... -0.001 eV/atom



no.,E (eV/atom),ρ (kg/m³),D(E_F) (states/eV per cell)
1,-5.924,13667,9.63
2,-4.877,5919,6.84
3,-4.365,4306,2.46